Computed, not measured: a relaxed structure of K3Rb2PuO6 at the PBE level of DFT.

Structure (POSCAR):
```
K3Rb2PuO6
1.0
-2.4255 -4.7702 4.1751
6.6497 1.3586 -0.0683
-2.2827 5.3394 2.8298
K Rb Pu O
3 2 1 6
direct
0.1574 0.8426 0.5000
0.8426 0.1574 0.5000
0.5000 0.5000 0.5000
0.3323 0.6677 0.0000
0.6677 0.3323 0.0000
0.0000 0.0000 0.0000
0.9336 0.6885 0.7962
0.8197 0.8197 0.1893
0.0664 0.3115 0.2038
0.6885 0.9336 0.7962
0.1803 0.1803 0.8107
0.3115 0.0664 0.2038
```

Summary:
Raw formation energy: -187.5 kJ/mol of atoms
Crystal system: monoclinic
V: 240 Å³/f.u.